Below is an optimized crystal structure of K2PaSiS6, with properties calculated at the PBE-GGA level.

a b c (Å): 6.936 6.936 6.937
angles (deg): 60.00 60.00 60.00
Fractional coordinates of all 10 atoms:
1 K 0.566 0.566 0.301
2 K 0.066 0.066 0.801
3 Pa 0.816 0.816 0.552
4 Si 0.316 0.316 0.052
5 S 0.551 0.082 0.286
6 S 0.082 0.082 0.286
7 S 0.082 0.551 0.286
8 S 0.550 0.551 0.817
9 S 0.551 0.082 0.817
10 S 0.082 0.550 0.817

* theoretical density: 3.73 g/cm3
* total DFT energy (no corrections): -5.194 eV/atom
* formation energy from raw total energies: -1.006 eV/atom


Below is an optimized crystal structure of La2MgSi4Pt3, with properties calculated at the PBE-GGA level.

a b c (Å): 4.286 4.286 10.341
angles (deg): 90.00 90.00 90.00
Fractional coordinates of all 10 atoms:
1 La 0.500 0.000 0.242
2 La 0.000 0.500 0.758
3 Mg 0.500 0.500 0.500
4 Si 0.500 0.500 0.000
5 Si 0.000 0.000 0.000
6 Si 0.500 0.000 0.647
7 Si 0.000 0.500 0.353
8 Pt 0.000 0.000 0.500
9 Pt 0.500 0.000 0.885
10 Pt 0.000 0.500 0.115

* theoretical density: 8.74 g/cm3
* total DFT energy (no corrections): -6.137 eV/atom
* formation energy from raw total energies: -1.011 eV/atom


Below is an optimized crystal structure of AgOsPb2, with properties calculated at the PBE-GGA level.

a b c (Å): 7.128 7.128 4.549
angles (deg): 71.39 71.39 25.32
Fractional coordinates of all 4 atoms:
1 Pb 0.946 0.946 0.054
2 Pb 0.739 0.739 0.761
3 Os 0.250 0.250 0.249
4 Ag 0.565 0.565 0.435

* theoretical density: 12.67 g/cm3
* total DFT energy (no corrections): -4.772 eV/atom
* energy relative to the elements: 2.4 eV/f.u.
* energy above the lowest structure with this stoichiometry: 0.000 eV/atom


Below is an optimized crystal structure of Cu2SbCl8, with properties calculated at the PBE-GGA level.

a b c (Å): 6.367 7.727 7.727
angles (deg): 62.11 84.74 84.74
Site moments in Bohr magnetons follow the coordinates.
Fractional coordinates of all 11 atoms:
1 Cu 0.682 0.804 0.804  0.27
2 Cu 0.318 0.196 0.196  0.27
3 Sb 0.000 0.000 0.000  -0.01
4 Cl 0.190 0.308 0.888  0.03
5 Cl 0.810 0.112 0.692  0.03
6 Cl 0.292 0.864 0.864  0.00
7 Cl 0.708 0.136 0.136  0.00
8 Cl 0.190 0.888 0.308  0.03
9 Cl 0.810 0.692 0.112  0.03
10 Cl 0.623 0.651 0.651  0.13
11 Cl 0.377 0.349 0.349  0.13

* theoretical density: 2.65 g/cm3
* total DFT energy (no corrections): -2.981 eV/atom
* formation energy from raw total energies: -0.519 eV/atom


Below is an optimized crystal structure of CdHgPbO3, with properties calculated at the PBE-GGA level.

a b c (Å): 3.600 6.855 9.385
angles (deg): 107.26 90.00 90.00
Fractional coordinates of all 12 atoms:
1 Cd 0.250 0.790 0.026
2 Cd 0.750 0.210 0.974
3 Hg 0.250 0.942 0.642
4 Hg 0.750 0.058 0.358
5 Pb 0.250 0.492 0.303
6 Pb 0.750 0.508 0.697
7 O 0.750 0.977 0.125
8 O 0.250 0.023 0.875
9 O 0.250 0.825 0.408
10 O 0.750 0.175 0.592
11 O 0.750 0.501 0.152
12 O 0.250 0.499 0.848

* theoretical density: 8.53 g/cm3
* total DFT energy (no corrections): -4.031 eV/atom
* formation energy from raw total energies: -0.731 eV/atom


Below is an optimized crystal structure of NdSm2DyEr2, with properties calculated at the PBE-GGA level.

a b c (Å): 3.394 6.652 17.656
angles (deg): 90.00 90.00 90.00
Fractional coordinates of all 12 atoms:
1 Nd 0.000 0.000 0.000
2 Nd 0.500 0.500 0.500
3 Sm 0.500 0.228 0.348
4 Sm 0.000 0.728 0.152
5 Sm 0.500 0.772 0.652
6 Sm 0.000 0.272 0.848
7 Dy 0.500 0.500 0.000
8 Dy 0.000 0.000 0.500
9 Er 0.500 0.733 0.321
10 Er 0.500 0.267 0.679
11 Er 0.000 0.767 0.821
12 Er 0.000 0.233 0.179

* theoretical density: 7.85 g/cm3
* total DFT energy (no corrections): -4.387 eV/atom
* energy relative to the elements: 1.6 eV/f.u.


Below is an optimized crystal structure of Ac5Cd4Cu, with properties calculated at the PBE-GGA level.

a b c (Å): 4.008 4.008 20.348
angles (deg): 90.00 90.00 90.00
Fractional coordinates of all 10 atoms:
1 Ac 0.500 0.500 0.089
2 Ac 0.500 0.500 0.295
3 Ac 0.500 0.500 0.500
4 Ac 0.500 0.500 0.705
5 Ac 0.500 0.500 0.911
6 Cd 0.000 0.000 0.194
7 Cd 0.000 0.000 0.398
8 Cd 0.000 0.000 0.602
9 Cd 0.000 0.000 0.806
10 Cu 0.000 0.000 0.000

* theoretical density: 8.37 g/cm3
* total DFT energy (no corrections): -3.077 eV/atom
* energy relative to the elements: -2.5 eV/f.u.


no.,magnetic moment (μB per atom)
1,0.00
2,0.00
3,0.00
4,0.09
5,0.00
6,0.00
7,0.00